An optimized crystal structure of TbPuGaPt. Source: Alexandria via LeMat-Bulk, functional PBE.

The structure in CIF format:
```
data_TbPuGaPt
_chemical_formula_sum 'Tb4 Pu4 Ga4 Pt4'
_cell_length_a 7.113
_cell_length_b 7.113
_cell_length_c 7.113
_cell_angle_alpha 90.00
_cell_angle_beta 90.00
_cell_angle_gamma 90.00
_space_group_name_H-M_alt 'F -4 3 m'
_space_group_IT_number 216
_space_group_name_Hall 'F -4 2 3'
loop_
_atom_site_label
_atom_site_type_symbol
_atom_site_fract_x
_atom_site_fract_y
_atom_site_fract_z
_atom_site_occupancy
Tb1 Tb 0.000 0.000 0.000 1
Pu1 Pu 0.000 0.000 0.500 1
Ga1 Ga 0.250 0.250 0.250 1
Pt1 Pt 0.250 0.250 0.750 1
```

Properties
ΔH_f (0 K) = -0.628 eV/atom
DFT total energy = -0.561 Ry per atom
Calculated volume = 22.49 A^3/atom

An optimized crystal structure of Sm2GaOs. Source: Alexandria via LeMat-Bulk, functional PBE.

The structure in CIF format:
```
data_Sm2GaOs
_chemical_formula_sum 'Sm4 Ga2 Os2'
_cell_length_a 5.963
_cell_length_b 4.117
_cell_length_c 8.282
_cell_angle_alpha 90.00
_cell_angle_beta 108.84
_cell_angle_gamma 90.00
_space_group_name_H-M_alt 'P 1 21/m 1'
_space_group_IT_number 11
loop_
_space_group_symop_operation_xyz
'x,y,z'
'-x,-y,-z'
'-x,y+1/2,-z'
'x,-y+1/2,z'
loop_
_atom_site_label
_atom_site_type_symbol
_atom_site_fract_x
_atom_site_fract_y
_atom_site_fract_z
_atom_site_occupancy
Sm1 Sm 0.189 0.250 0.413 1
Sm2 Sm 0.270 0.750 0.056 1
Ga1 Ga 0.361 0.750 0.714 1
Os1 Os 0.142 0.250 0.780 1
```

Properties
ΔH_f (0 K) = -0.343 eV/atom
DFT total energy = -0.461 Ry per atom
Calculated volume = 24.05 A^3/atom

An optimized crystal structure of KTcNi. Source: Alexandria via LeMat-Bulk, functional PBE.

The structure in CIF format:
```
data_KTcNi
_chemical_formula_sum 'K4 Tc4 Ni4'
_cell_length_a 6.588
_cell_length_b 6.588
_cell_length_c 6.588
_cell_angle_alpha 90.00
_cell_angle_beta 90.00
_cell_angle_gamma 90.00
_space_group_name_H-M_alt 'F -4 3 m'
_space_group_IT_number 216
_space_group_name_Hall 'F -4 2 3'
loop_
_atom_site_label
_atom_site_type_symbol
_atom_site_fract_x
_atom_site_fract_y
_atom_site_fract_z
_atom_site_occupancy
K1 K 0.000 0.000 0.000 1
Tc1 Tc 0.250 0.250 0.750 1
Ni1 Ni 0.250 0.250 0.250 1
```

Properties
Energy above the most stable polymorph in this dataset = 1969 meV/atom
ΔH_f (0 K) = 2.394 eV/atom
DFT total energy = -0.247 Ry per atom
Calculated volume = 23.83 A^3/atom

An optimized crystal structure of YSc2InCo. Source: Alexandria via LeMat-Bulk, functional PBE.

The structure in CIF format:
```
data_YSc2InCo
_chemical_formula_sum 'Y1 Sc2 In1 Co1'
_cell_length_a 4.831
_cell_length_b 4.831
_cell_length_c 5.179
_cell_angle_alpha 90.00
_cell_angle_beta 90.00
_cell_angle_gamma 90.00
_space_group_name_H-M_alt 'P 4/m m m'
_space_group_IT_number 123
_space_group_name_Hall '-P 4 2'
loop_
_atom_site_label
_atom_site_type_symbol
_atom_site_fract_x
_atom_site_fract_y
_atom_site_fract_z
_atom_site_occupancy
Y1 Y 0.000 0.000 0.000 1
Sc1 Sc 0.000 0.500 0.500 1
In1 In 0.500 0.500 0.000 1
Co1 Co 0.000 0.000 0.500 1
```

Properties
ΔH_f (0 K) = -0.185 eV/atom
DFT total energy = -0.439 Ry per atom
Calculated volume = 24.17 A^3/atom

An optimized crystal structure of TmTaOsRu. Source: Alexandria via LeMat-Bulk, functional PBE.

The structure in CIF format:
```
data_TmTaOsRu
_chemical_formula_sum 'Tm1 Ta1 Os1 Ru1'
_cell_length_a 3.217
_cell_length_b 3.217
_cell_length_c 6.756
_cell_angle_alpha 90.00
_cell_angle_beta 90.00
_cell_angle_gamma 90.00
_space_group_name_H-M_alt 'P 4 m m'
_space_group_IT_number 99
loop_
_space_group_symop_operation_xyz
'x,y,z'
'-y,x,z'
'-x,-y,z'
'y,-x,z'
'-x,y,z'
'y,x,z'
'x,-y,z'
'-y,-x,z'
loop_
_atom_site_label
_atom_site_type_symbol
_atom_site_fract_x
_atom_site_fract_y
_atom_site_fract_z
_atom_site_occupancy
Tm1 Tm 0.000 0.000 0.000 1
Ta1 Ta 0.000 0.000 0.498 1
Os1 Os 0.500 0.500 0.723 1
Ru1 Ru 0.500 0.500 0.273 1
```

Properties
Energy above the most stable polymorph in this dataset = 0 meV/atom
ΔH_f (0 K) = -0.439 eV/atom
DFT total energy = -0.709 Ry per atom
Calculated volume = 17.49 A^3/atom

An optimized crystal structure of HoCr2Si2C. Source: Alexandria via LeMat-Bulk, functional PBE.

The structure in CIF format:
```
data_HoCr2Si2C
_chemical_formula_sum 'Ho1 Cr2 Si2 C1'
_cell_length_a 3.956
_cell_length_b 3.956
_cell_length_c 5.230
_cell_angle_alpha 90.00
_cell_angle_beta 90.00
_cell_angle_gamma 90.00
_space_group_name_H-M_alt 'P 4/m m m'
_space_group_IT_number 123
_space_group_name_Hall '-P 4 2'
loop_
_atom_site_label
_atom_site_type_symbol
_atom_site_fract_x
_atom_site_fract_y
_atom_site_fract_z
_atom_site_occupancy
Ho1 Ho 0.000 0.000 0.000 1
Cr1 Cr 0.000 0.500 0.500 1
Si1 Si 0.500 0.500 0.228 1
C1 C 0.000 0.000 0.500 1
```

Properties
E_form (uncorrected) = -468.7 meV per atom
DFT total energy = -0.572 Ry per atom
Calculated volume = 13.64 A^3/atom

An optimized crystal structure of Sc2TlAu. Source: Alexandria via LeMat-Bulk, functional PBE.

The structure in CIF format:
```
data_Sc2TlAu
_chemical_formula_sum 'Sc6 Tl3 Au3'
_cell_length_a 3.5246
_cell_length_b 3.5246
_cell_length_c 26.1876
_cell_angle_alpha 90.00
_cell_angle_beta 90.00
_cell_angle_gamma 120.00
_space_group_name_H-M_alt 'R -3 m'
_space_group_IT_number 166
_space_group_name_Hall '-R 3 2"'
loop_
_atom_site_label
_atom_site_type_symbol
_atom_site_fract_x
_atom_site_fract_y
_atom_site_fract_z
_atom_site_occupancy
Sc1 Sc 0.0000 0.0000 0.2406 1
Tl1 Tl 0.0000 0.0000 0.0000 1
Au1 Au 0.0000 0.0000 0.5000 1
```

Properties
ΔH_f (0 K) = -0.386 eV/atom
DFT total energy = -0.365 Ry per atom
Calculated volume = 23.48 A^3/atom

An optimized crystal structure of HgRh2C. Source: Alexandria via LeMat-Bulk, functional PBE.

The structure in CIF format:
```
data_HgRh2C
_chemical_formula_sum 'Hg4 Rh8 C4'
_cell_length_a 6.154
_cell_length_b 6.154
_cell_length_c 6.154
_cell_angle_alpha 90.00
_cell_angle_beta 90.00
_cell_angle_gamma 90.00
_space_group_name_H-M_alt 'F m -3 m'
_space_group_IT_number 225
_space_group_name_Hall '-F 4 2 3'
loop_
_atom_site_label
_atom_site_type_symbol
_atom_site_fract_x
_atom_site_fract_y
_atom_site_fract_z
_atom_site_occupancy
Hg1 Hg 0.000 0.000 0.000 1
Rh1 Rh 0.250 0.250 0.250 1
C1 C 0.000 0.000 0.500 1
```

Properties
Energy above the most stable polymorph in this dataset = 1137 meV/atom
ΔH_f (0 K) = 1.383 eV/atom
DFT total energy = -0.344 Ry per atom
Calculated volume = 14.56 A^3/atom

An optimized crystal structure of CuSnSbTe2. Source: Alexandria via LeMat-Bulk, functional PBE.

The structure in CIF format:
```
data_CuSnSbTe2
_chemical_formula_sum 'Cu1 Sn1 Sb1 Te2'
_cell_length_a 5.305
_cell_length_b 5.305
_cell_length_c 4.981
_cell_angle_alpha 90.00
_cell_angle_beta 90.00
_cell_angle_gamma 90.00
_space_group_name_H-M_alt 'P 4/m m m'
_space_group_IT_number 123
_space_group_name_Hall '-P 4 2'
loop_
_atom_site_label
_atom_site_type_symbol
_atom_site_fract_x
_atom_site_fract_y
_atom_site_fract_z
_atom_site_occupancy
Cu1 Cu 0.000 0.000 0.000 1
Sn1 Sn 0.500 0.500 0.500 1
Sb1 Sb 0.000 0.000 0.500 1
Te1 Te 0.000 0.500 0.000 1
```

Properties
Energy above the most stable polymorph in this dataset = 0 meV/atom
E_form (uncorrected) = 287.3 meV per atom
DFT total energy = -0.251 Ry per atom
Calculated volume = 28.04 A^3/atom

An optimized crystal structure of TaGaI2. Source: Alexandria via LeMat-Bulk, functional PBE.

The structure in CIF format:
```
data_TaGaI2
_chemical_formula_sum 'Ta4 Ga4 I8'
_cell_length_a 14.427
_cell_length_b 3.853
_cell_length_c 11.424
_cell_angle_alpha 90.00
_cell_angle_beta 105.66
_cell_angle_gamma 90.00
_space_group_name_H-M_alt 'C 1 m 1'
_space_group_IT_number 8
loop_
_space_group_symop_operation_xyz
'x,y,z'
'x,-y,z'
'x+1/2,y+1/2,z'
'x+1/2,-y+1/2,z'
loop_
_atom_site_label
_atom_site_type_symbol
_atom_site_fract_x
_atom_site_fract_y
_atom_site_fract_z
_atom_site_occupancy
Ta1 Ta 0.000 0.000 0.000 1
Ta2 Ta 0.192 0.000 0.115 1
Ga1 Ga 0.082 0.500 0.150 1
Ga2 Ga 0.198 0.000 0.346 1
I1 I 0.136 0.000 0.862 1
I2 I 0.161 0.500 0.504 1
I3 I 0.353 0.500 0.136 1
I4 I 0.394 0.000 0.826 1
```

Properties
Energy above the most stable polymorph in this dataset = 0 meV/atom
E_form (uncorrected) = -88.3 meV per atom
DFT total energy = -0.337 Ry per atom
Calculated volume = 38.21 A^3/atom